# 1
A plane-wave DFT calculation with PBE was carried out for ErTmPtAu after structural relaxation.

abc: 3.7042 4.5542 5.6260
angles: 90.00 109.22 90.00
Last column: nearest neighbours and their distance in Å.
Fractional positions:
Er 0.8624 0.5000 0.7247  3 Au 2.91-3.03, 4 Pt 2.98
Tm 0.1391 0.0000 0.2783  3 Pt 2.88-3.06, 4 Au 2.98
Pt 0.4101 0.0000 0.8203  3 Tm 2.88-3.06, 2 Au 2.96, 4 Er 2.98
Au 0.5884 0.5000 0.1767  3 Er 2.91-3.03, 2 Pt 2.96, 4 Tm 2.98

Energy of formation, eV per atom: -1.117
Distance to the lowest polymorph of the same formula, eV/atom: 0.000
Space-group type: Amm2 (38)

---

# 2
A plane-wave DFT calculation with PBE was carried out for BiIr2N2 after structural relaxation.

abc: 4.0436 4.0436 5.5861
angles: 68.78 68.78 90.00
Last column: nearest neighbours and their distance in Å.
Fractional positions:
Ir 0.7500 0.2500 0.5000  4 N 2.12
Ir 0.2500 0.7500 0.5000  4 N 2.12
Bi 0.0000 0.0000 0.0000  10 N 3.02-3.37, 8 Ir 3.14
N 0.3147 0.3147 0.3705  4 Ir 2.12
N 0.6853 0.6853 0.6295  4 Ir 2.12

Distance to the lowest polymorph of the same formula, eV/atom: 0.000
E_form (uncorrected), meV per atom: 1052
Space-group type: I4/mmm (139)

---

# 3
A plane-wave DFT calculation with PBE was carried out for Ba4MgMn after structural relaxation.

abc: 7.3912 7.3912 7.3912
angles: 60.00 60.00 60.00
Last column: nearest neighbours and their distance in Å.
Fractional positions:
Ba 0.8755 0.3748 0.3748  6 Ba 3.69-3.70
Ba 0.3748 0.3748 0.8755  6 Ba 3.69-3.70
Ba 0.3748 0.8755 0.3748  6 Ba 3.69-3.70
Ba 0.3748 0.3748 0.3748  6 Ba 3.69-3.70
Mg 0.7500 0.7500 0.7500  12 Ba 4.33, 4 Mn 4.53
Mn 0.0000 0.0000 0.0000  12 Ba 4.33, 4 Mg 4.53

Energy of formation, eV per atom: 0.719
Space-group type: F-43m (216)

---

# 4
A plane-wave DFT calculation with PBE was carried out for PrNd2Hg2 after structural relaxation.

abc: 3.8637 5.5158 14.1936
angles: 90.00 97.86 90.00
Last column: nearest neighbours and their distance in Å.
Fractional positions:
Pr 0.8537 0.7500 0.7102  6 Hg 3.34-3.37
Pr 0.1463 0.2500 0.2898  6 Hg 3.34-3.37
Nd 0.0475 0.7500 0.0942  8 Hg 3.30-3.37
Nd 0.9525 0.2500 0.9058  8 Hg 3.30-3.37
Nd 0.2346 0.7500 0.4715  2 Hg 3.23-3.24, 4 Nd 3.46-3.47
Nd 0.7654 0.2500 0.5285  2 Hg 3.23-3.24, 4 Nd 3.46-3.47
Hg 0.6433 0.7500 0.2871  4 Nd 3.23-3.33, 4 Pr 3.36-3.37
Hg 0.3567 0.2500 0.7129  4 Nd 3.23-3.33, 4 Pr 3.36-3.37
Hg 0.4511 0.7500 0.9041  6 Nd 3.30-3.37, 2 Pr 3.34
Hg 0.5489 0.2500 0.0959  6 Nd 3.30-3.37, 2 Pr 3.34

Energy of formation, eV per atom: -0.375
Distance to the lowest polymorph of the same formula, eV/atom: 0.000
Space-group type: P2_1/m (11)

---

# 5
A plane-wave DFT calculation with PBE was carried out for Ca2MgFe after structural relaxation.

abc: 3.5148 3.4603 8.7220
angles: 90.00 90.00 90.00
Last column: nearest neighbours and their distance in Å.
Fractional positions:
Ca 0.0000 0.0000 0.0377  4 Fe 3.08
Ca 0.0000 0.0000 0.4623  4 Fe 3.08
Fe 0.5000 0.5000 0.2500  8 Ca 3.08
Mg 0.5000 0.5000 0.7500  4 Mg 3.46-3.51, 8 Ca 3.52

Energy of formation, eV per atom: 0.293
Space-group type: Pmmm (47)

---

# 6
A plane-wave DFT calculation with PBE was carried out for Mg2NbCu after structural relaxation.

abc: 7.3687 7.3687 5.8869
angles: 51.25 51.25 90.00
Last column: nearest neighbours and their distance in Å.
Fractional positions:
Nb 0.0000 0.0000 0.0000  2 Cu 2.74, 4 Mg 2.91
Nb 0.7500 0.2500 0.5000  2 Cu 2.74, 4 Mg 2.91
Mg 0.5843 0.1250 0.2500  2 Cu 2.50
Mg 0.1657 0.6250 0.2500  2 Cu 2.50
Mg 0.3750 0.4157 0.7500  2 Cu 2.50
Mg 0.8750 0.8343 0.7500  2 Cu 2.50
Cu 0.5000 0.5000 0.0000  4 Mg 2.50, 2 Nb 2.74
Cu 0.2500 0.7500 0.5000  4 Mg 2.50, 2 Nb 2.74

Energy of formation, eV per atom: 0.548
Distance to the lowest polymorph of the same formula, eV/atom: 0.186
Space-group type: I-42d (122)

---

# 7
A plane-wave DFT calculation with PBE was carried out for GaTcSb3 after structural relaxation.

abc: 5.1926 5.1926 5.1926
angles: 90.00 90.00 90.00
Last column: nearest neighbours and their distance in Å.
Fractional positions:
Sb 0.0000 0.5000 0.0000  2 Tc 2.60
Sb 0.0000 0.0000 0.5000  2 Tc 2.60
Sb 0.5000 0.0000 0.0000  2 Tc 2.60
Tc 0.0000 0.0000 0.0000  6 Sb 2.60
Ga 0.5000 0.5000 0.5000  12 Sb 3.67

Distance to the lowest polymorph of the same formula, eV/atom: 0.000
E_form (uncorrected), meV per atom: 473
Space-group type: Pm-3m (221)

---

# 8
A plane-wave DFT calculation with PBE was carried out for CeHoCdRu after structural relaxation.

abc: 3.3461 3.3461 8.3348
angles: 90.00 90.00 90.00
Last column: nearest neighbours and their distance in Å.
Fractional positions:
Ce 0.5000 0.5000 0.7762  4 Ru 2.93
Ho 0.5000 0.5000 0.3618  4 Ru 2.93
Cd 0.0000 0.0000 0.0784  4 Ho 3.34, 4 Cd 3.35, 4 Ce 3.46
Ru 0.0000 0.0000 0.5683  4 Ho 2.93, 4 Ce 2.93

Energy of formation, eV per atom: -0.353
Distance to the lowest polymorph of the same formula, eV/atom: 0.000
Space-group type: P4mm (99)

---

# 9
A plane-wave DFT calculation with PBE was carried out for Ho2Sc2In3 after structural relaxation.

abc: 4.6714 3.2488 11.6224
angles: 90.00 78.41 90.00
Last column: nearest neighbours and their distance in Å.
Fractional positions:
Ho 0.5739 0.5000 0.8523  1 Sc 3.11, 3 Ho 3.25-3.36, 8 In 3.31-3.42
Ho 0.4261 0.5000 0.1477  1 Sc 3.11, 3 Ho 3.25-3.36, 8 In 3.31-3.42
Sc 0.7106 0.5000 0.5787  4 Sc 2.94-3.25, 4 In 3.10, 1 Ho 3.11
Sc 0.2894 0.5000 0.4213  4 Sc 2.94-3.25, 4 In 3.10, 1 Ho 3.11
In 0.8429 0.0000 0.3142  6 Sc 3.10-3.42, 2 In 3.25, 4 Ho 3.42
In 0.0000 0.0000 0.0000  4 In 3.25-3.58, 8 Ho 3.31
In 0.1571 0.0000 0.6858  6 Sc 3.10-3.42, 2 In 3.25, 4 Ho 3.42

Energy of formation, eV per atom: -0.301
Space-group type: Cmmm (65)

---

# 10
A plane-wave DFT calculation with PBE was carried out for Cd2CoRh after structural relaxation.

abc: 9.0955 9.0955 9.0955
angles: 18.40 18.40 18.40
Last column: nearest neighbours and their distance in Å.
Fractional positions:
Cd 0.9984 0.9984 0.9984  3 Co 2.76, 3 Rh 2.83, 6 Cd 2.91
Cd 0.5016 0.5016 0.5016  3 Co 2.76, 3 Rh 2.83, 6 Cd 2.91
Co 0.2500 0.2500 0.2500  6 Cd 2.76, 6 Co 2.91
Rh 0.7500 0.7500 0.7500  6 Cd 2.83, 6 Rh 2.91

Energy of formation, eV per atom: 0.230
Space-group type: R-3m (166)

---

# 11
A plane-wave DFT calculation with PBE was carried out for LiAg2Br4 after structural relaxation.

abc: 5.9072 5.9072 6.1311
angles: 90.00 90.00 90.00
Last column: nearest neighbours and their distance in Å.
Fractional positions:
Li 0.0000 0.0000 0.0000  4 Br 2.54
Ag 0.5000 0.0000 0.5000  4 Br 2.66
Ag 0.0000 0.5000 0.5000  4 Br 2.66
Br 0.7481 0.2519 0.7684  1 Li 2.54, 2 Ag 2.66
Br 0.2519 0.2519 0.2316  1 Li 2.54, 2 Ag 2.66
Br 0.2519 0.7481 0.7684  1 Li 2.54, 2 Ag 2.66
Br 0.7481 0.7481 0.2316  1 Li 2.54, 2 Ag 2.66

Distance to the lowest polymorph of the same formula, eV/atom: 0.033
E_form (uncorrected), meV per atom: -580
Space-group type: P-42m (111)

---

# 12
A plane-wave DFT calculation with PBE was carried out for Ti3CdBi after structural relaxation.

abc: 5.0084 5.0084 5.0084
angles: 90.00 90.00 90.00
Last column: nearest neighbours and their distance in Å.
Fractional positions:
Ti 0.0000 0.5000 0.0000  2 Cd 2.50
Ti 0.0000 0.0000 0.5000  2 Cd 2.50
Ti 0.5000 0.0000 0.0000  2 Cd 2.50
Bi 0.5000 0.5000 0.5000  12 Ti 3.54
Cd 0.0000 0.0000 0.0000  6 Ti 2.50

Energy of formation, eV per atom: 0.903
Distance to the lowest polymorph of the same formula, eV/atom: 0.000
Space-group type: Pm-3m (221)

---

no.,E_tot (eV/atom)
1,-5.705
2,-6.598
3,-2.357
4,-3.359
5,-3.222
6,-3.791
7,-4.679
8,-5.528
9,-4.592
10,-3.842
11,-2.624
12,-4.793